DFT (PBE-GGA) results for a relaxed La2TbPr4Dy crystal.

a = 5.213 Å, b = 5.188 Å, c = 11.679 Å
α = 63.50°, β = 90.00°, γ = 90.00°
Fractional coordinates of all 8 atoms:
La  0.000  0.000  0.000
La  0.500  0.000  0.500
Tb  0.500  0.500  0.000
Pr  0.000  0.751  0.749
Pr  0.000  0.249  0.251
Pr  0.500  0.750  0.250
Pr  0.500  0.250  0.750
Dy  0.000  0.500  0.500

Values from the calculation:
- formation enthalpy at 0 K (meV/atom) = 20